# 1
DFT (PBE-GGA) results for a relaxed structure of Si2TcPb.

Output
SG ... P4/mmm (123)
Density of states at the Fermi level ... 0.513 states/eV/atom
Energy ... -6.185 eV per atom

a = 3.121 Å, b = 3.121 Å, c = 7.443 Å
α = 90.00°, β = 90.00°, γ = 90.00°
Sites, in units of the cell vectors:
Si  0.000  0.000  0.074
Si  0.000  0.000  0.426
Tc  0.500  0.500  0.250
Pb  0.500  0.500  0.750

# 2
DFT (PBE-GGA) results for a relaxed structure of NdMn2Se4.

Output
SG ... Cmcm (63)
Density of states at the Fermi level ... 0.284 states/eV/atom
Energy ... -6.227 eV per atom

a = 3.949 Å, b = 6.605 Å, c = 12.776 Å
α = 90.00°, β = 90.00°, γ = 107.40°
Sites, in units of the cell vectors:
Se  0.500  0.000  0.500
Se  0.774  0.547  0.110
Se  0.226  0.453  0.890
Se  0.500  0.000  0.000
Se  0.774  0.547  0.390
Se  0.226  0.453  0.610
Se  0.941  0.883  0.750
Se  0.059  0.117  0.250
Mn  0.868  0.736  0.934
Mn  0.868  0.736  0.566
Mn  0.132  0.264  0.066
Mn  0.132  0.264  0.434
Nd  0.386  0.772  0.250
Nd  0.614  0.228  0.750

Please write out number 1 again, unchanged.
DFT (PBE-GGA) results for a relaxed structure of Si2TcPb.

Output
SG ... P4/mmm (123)
Density of states at the Fermi level ... 0.513 states/eV/atom
Energy ... -6.185 eV per atom

a = 3.121 Å, b = 3.121 Å, c = 7.443 Å
α = 90.00°, β = 90.00°, γ = 90.00°
Sites, in units of the cell vectors:
Si  0.000  0.000  0.074
Si  0.000  0.000  0.426
Tc  0.500  0.500  0.250
Pb  0.500  0.500  0.750

Among the records above, which one has the highest density of states at the Fermi level?
Si2TcPb